A plane-wave DFT calculation with PBE was carried out for crystalline GePt at its relaxed geometry.

Cell lengths 5.8316, 3.7500, 6.1688 Å; angles 90.00, 90.00, 90.00 degrees
Closest atoms and distances in Å follow each position.
Positions (direct):
Ge (0.6864, 0.2500, 0.9116)  6 Pt 2.51-2.71
Ge (0.3136, 0.7500, 0.0884)  6 Pt 2.51-2.71
Ge (0.8136, 0.7500, 0.4116)  6 Pt 2.51-2.71
Ge (0.1864, 0.2500, 0.5884)  6 Pt 2.51-2.71
Pt (0.0023, 0.7500, 0.8072)  6 Ge 2.51-2.71
Pt (0.5023, 0.7500, 0.6928)  6 Ge 2.51-2.71
Pt (0.9977, 0.2500, 0.1928)  6 Ge 2.51-2.71
Pt (0.4977, 0.2500, 0.3072)  6 Ge 2.51-2.71

Results
E_form   -0.488 eV/atom
DOS(E_F)   0.3 states/eV/f.u.

***

A plane-wave DFT calculation with PBE was carried out for crystalline GePt at its relaxed geometry.

Cell lengths 3.9865, 5.1670, 13.0955 Å; angles 90.00, 90.00, 90.00 degrees
Closest atoms and distances in Å follow each position.
Positions (direct):
Ge (0.0000, 0.7922, 0.0000)  4 Pt 2.41-2.45
Ge (0.5000, 0.2078, 0.5000)  4 Pt 2.41-2.45
Ge (0.5000, 0.2138, 0.1402)  4 Pt 2.41-2.59
Ge (0.0000, 0.7862, 0.6402)  4 Pt 2.41-2.59
Ge (0.0000, 0.7862, 0.3598)  4 Pt 2.41-2.59
Ge (0.5000, 0.2138, 0.8598)  4 Pt 2.41-2.59
Pt (0.0000, 0.9532, 0.8271)  4 Ge 2.41-2.59
Pt (0.5000, 0.5157, 0.0000)  4 Ge 2.41-2.45
Pt (0.0000, 0.9532, 0.1729)  4 Ge 2.41-2.59
Pt (0.0000, 0.4843, 0.5000)  4 Ge 2.41-2.45
Pt (0.5000, 0.0468, 0.6729)  4 Ge 2.41-2.59
Pt (0.5000, 0.0468, 0.3271)  4 Ge 2.41-2.59

Results
E_form   -0.196 eV/atom
DOS(E_F)   1.0 states/eV/f.u.

***

A plane-wave DFT calculation with PBE was carried out for crystalline GePt at its relaxed geometry.

Cell lengths 3.9914, 3.9129, 5.7256 Å; angles 90.00, 110.27, 90.00 degrees
Closest atoms and distances in Å follow each position.
Positions (direct):
Ge (0.6018, 0.7500, 0.7011)  4 Pt 2.52-2.58
Ge (0.3982, 0.2500, 0.2989)  4 Pt 2.52-2.58
Pt (0.7564, 0.2500, 0.0131)  4 Ge 2.52-2.58, 4 Pt 2.80
Pt (0.2436, 0.7500, 0.9869)  4 Ge 2.52-2.58, 4 Pt 2.80

Results
E_form   -0.263 eV/atom
DOS(E_F)   0.5 states/eV/f.u.

***

A plane-wave DFT calculation with PBE was carried out for crystalline GePt8 at its relaxed geometry.

Cell lengths 3.9869, 6.2650, 6.2650 Å; angles 84.19, 71.45, 71.45 degrees
Closest atoms and distances in Å follow each position.
Positions (direct):
Pt (0.6639, 0.0000, 0.6722)  10 Pt 2.75-2.86, 2 Ge 2.79
Pt (0.6639, 0.6722, 0.0000)  10 Pt 2.75-2.86, 2 Ge 2.79
Pt (0.0000, 0.3304, 0.6696)  1 Ge 2.78, 11 Pt 2.80-2.85
Pt (0.3361, 0.3278, 0.0000)  10 Pt 2.75-2.86, 2 Ge 2.79
Pt (0.6696, 0.3304, 0.3304)  1 Ge 2.78, 11 Pt 2.80-2.85
Pt (0.0000, 0.6696, 0.3304)  1 Ge 2.78, 11 Pt 2.80-2.85
Pt (0.3304, 0.6696, 0.6696)  1 Ge 2.78, 11 Pt 2.80-2.85
Pt (0.3361, 0.0000, 0.3278)  10 Pt 2.75-2.86, 2 Ge 2.79
Ge (0.0000, 0.0000, 0.0000)  12 Pt 2.78-2.79

Results
E_form   -0.110 eV/atom
DOS(E_F)   11.3 states/eV/f.u.

***

A plane-wave DFT calculation with PBE was carried out for crystalline GePt3 at its relaxed geometry.

Cell lengths 2.8664, 4.8802, 5.3288 Å; angles 117.25, 105.60, 90.00 degrees
Closest atoms and distances in Å follow each position.
Positions (direct):
Ge (0.0000, 0.0009, 0.0000)  6 Pt 2.53-2.57
Pt (0.7192, 0.0834, 0.4385)  2 Ge 2.53
Pt (0.2808, 0.6449, 0.5615)  2 Ge 2.53
Pt (0.5000, 0.4374, 0.0000)  2 Ge 2.57, 4 Pt 2.87

Results
E_form   -0.217 eV/atom
DOS(E_F)   2.0 states/eV/f.u.

***

A plane-wave DFT calculation with PBE was carried out for crystalline Ge2Pt3 at its relaxed geometry.

Cell lengths 6.6943, 6.6943, 5.8527 Å; angles 55.12, 55.12, 60.00 degrees
Closest atoms and distances in Å follow each position.
Positions (direct):
Pt (0.4823, 0.0177, 0.7500)  4 Ge 2.50-2.60
Pt (0.2500, 0.5177, 0.2500)  4 Ge 2.50-2.60
Pt (0.9823, 0.2500, 0.2500)  4 Ge 2.50-2.60
Pt (0.5177, 0.9823, 0.2500)  4 Ge 2.50-2.60
Pt (0.7500, 0.4823, 0.7500)  4 Ge 2.50-2.60
Pt (0.0177, 0.7500, 0.7500)  4 Ge 2.50-2.60
Ge (0.1069, 0.1069, 0.6794)  6 Pt 2.50-2.60
Ge (0.8931, 0.8931, 0.3206)  6 Pt 2.50-2.60
Ge (0.6069, 0.6069, 0.1794)  6 Pt 2.50-2.60
Ge (0.3931, 0.3931, 0.8206)  6 Pt 2.50-2.60

Results
E_form   -0.247 eV/atom
Relative energy among the computed polymorphs   200 meV/atom
DOS(E_F)   2.8 states/eV/f.u.

***

A plane-wave DFT calculation with PBE was carried out for crystalline PuGe2Pt5 at its relaxed geometry.

Cell lengths 3.9558, 6.4556, 6.4556 Å; angles 68.07, 72.16, 72.16 degrees
Closest atoms and distances in Å follow each position.
Positions (direct):
Pu (0.0000, 0.0000, 0.0000)  4 Ge 3.16, 8 Pt 3.26
Pt (0.3574, 0.8415, 0.4437)  3 Ge 2.42-2.67
Pt (0.3574, 0.4437, 0.8415)  3 Ge 2.42-2.67
Pt (0.6426, 0.1585, 0.5563)  3 Ge 2.42-2.67
Pt (0.6426, 0.5563, 0.1585)  3 Ge 2.42-2.67
Pt (0.0000, 0.5000, 0.5000)  2 Ge 2.50
Ge (0.7485, 0.7515, 0.7515)  7 Pt 2.42-2.67
Ge (0.2515, 0.2485, 0.2485)  7 Pt 2.42-2.67

Results
E_form   -0.576 eV/atom
DOS(E_F)   13.9 states/eV/f.u.

***

A plane-wave DFT calculation with PBE was carried out for crystalline PuGe2Pt3 at its relaxed geometry.

Cell lengths 4.0661, 8.6144, 10.0873 Å; angles 106.16, 90.00, 103.65 degrees
Closest atoms and distances in Å follow each position.
Positions (direct):
Pt (0.6173, 0.2347, 0.1949)  4 Ge 2.55-2.73, 1 Pt 2.83
Pt (0.3234, 0.6468, 0.0417)  4 Ge 2.47-2.63
Pt (0.7799, 0.5599, 0.6098)  4 Ge 2.44-2.64
Pt (0.6766, 0.3532, 0.9583)  4 Ge 2.47-2.63
Pt (0.9606, 0.9212, 0.6711)  4 Ge 2.50-2.70
Pt (0.0394, 0.0788, 0.3289)  4 Ge 2.50-2.70
Pt (0.5000, 0.0000, 0.5000)  4 Ge 2.48-2.70
Pt (0.2201, 0.4401, 0.3902)  4 Ge 2.44-2.64
Pt (0.3827, 0.7653, 0.8051)  4 Ge 2.55-2.73, 1 Pt 2.83
Pu (0.0000, 0.0000, 0.0000)  6 Pt 3.11-3.19, 6 Ge 3.19-3.23
Pu (0.1581, 0.3161, 0.7003)  6 Ge 3.09-3.24, 5 Pt 3.19-3.25
Pu (0.8419, 0.6839, 0.2997)  6 Ge 3.09-3.24, 5 Pt 3.19-3.25
Ge (0.6382, 0.2764, 0.4558)  7 Pt 2.44-2.70
Ge (0.4595, 0.9191, 0.2212)  5 Pt 2.47-2.73
Ge (0.8024, 0.6049, 0.8690)  6 Pt 2.52-2.63
Ge (0.1976, 0.3951, 0.1310)  6 Pt 2.52-2.63
Ge (0.3618, 0.7236, 0.5442)  7 Pt 2.44-2.70
Ge (0.5405, 0.0809, 0.7788)  5 Pt 2.47-2.73

Results
E_form   -0.674 eV/atom
DOS(E_F)   14.1 states/eV/f.u.

***

Number 7 is which compound?
PuGe2Pt5

***

Which value of E_form does entry 3 give?
-0.263 eV/atom

***

Which formula does entry 1 have?
GePt